An optimized crystal structure of HoErSO2. Source: the Open Quantum Materials Database, functional PBE-GGA.

Values from the calculation:
Size of the total moment = 0.00 μB/f.u.
Uncorrected energy = -39.31 eV for the cell shown
SG = No. 156

Cell lengths 3.757, 3.757, 6.534 Å; angles 90.00, 90.00, 120.00 degrees
Element x y z (fractional)
Ho  0.000  0.000  0.000
Er  0.667  0.333  0.435
S  0.333  0.667  0.717
O  0.000  0.000  0.348
O  0.667  0.333  0.089